No. 1
## RbCrSn2Br8 (PBE-GGA)

Data for an optimized crystal structure of RbCrSn2Br8.

abc: 7.4144 7.4467 8.3745
angles: 72.26 86.63 85.56
Last column: nearest neighbours and their distance in Å.
Atoms (fractional coordinates):
Rb: 0.0000 0.0000 0.0000  6 Br 3.58-3.72
Cr: 0.0000 0.5000 0.5000  6 Br 2.53-2.54
Sn: 0.4472 0.4923 0.2616  4 Br 2.77-3.07
Sn: 0.5528 0.5077 0.7384  4 Br 2.77-3.07
Br: 0.0767 0.4134 0.2320  1 Cr 2.54
Br: 0.2212 0.7578 0.4034  1 Cr 2.53
Br: 0.2529 0.2705 0.6420  1 Cr 2.53
Br: 0.4386 0.7688 0.9537  2 Sn 2.77-3.07
Br: 0.5614 0.2312 0.0463  2 Sn 2.77-3.07
Br: 0.7471 0.7295 0.3580  1 Cr 2.53
Br: 0.7788 0.2422 0.5966  1 Cr 2.53
Br: 0.9233 0.5866 0.7680  1 Cr 2.54

Properties
The mass density is 3.84 g/cm³. Its uncorrected formation energy is -943 meV/atom. For the total magnetic moment, the calculation gives 3.0 μB/f.u. Its total energy is -43.30 eV for the cell shown.

No. 2
## Cr2CoPb (PBE-GGA)

Data for an optimized crystal structure of Cr2CoPb.

abc: 4.6655 4.6655 4.6816
angles: 102.14 102.14 37.23
Last column: nearest neighbours and their distance in Å.
Atoms (fractional coordinates):
Cr: 0.2369 0.2369 0.1673  2 Cr 2.21
Cr: 0.7631 0.7631 0.8327  2 Cr 2.21
Co: 0.5000 0.5000 0.0000  6 Cr 2.55-2.61, 4 Pb 2.77
Pb: 0.0000 0.0000 0.5000  4 Co 2.77, 6 Cr 2.87-2.91, 2 Pb 2.98

Properties
The mass density is 10.22 g/cm³. The value obtained for the formation energy is 575 meV per atom. For the total magnetic moment, the calculation gives 0.6 μB/f.u. Its total energy is -27.76 eV for the cell shown.

No. 3
## TePd2I3 (PBE-GGA)

Data for an optimized crystal structure of TePd2I3.

abc: 8.2811 8.2811 5.7675
angles: 90.00 90.00 120.00
Last column: nearest neighbours and their distance in Å.
Atoms (fractional coordinates):
Te: 0.3333 0.6667 0.2284  3 Pd 2.73
Te: 0.6667 0.3333 0.7716  3 Pd 2.73
Pd: 0.0000 0.0000 0.0000  6 I 2.85
Pd: 0.0000 0.5000 0.0000  2 Te 2.73, 4 I 2.83
Pd: 0.5000 0.0000 0.0000  2 Te 2.73, 4 I 2.83
Pd: 0.5000 0.5000 0.0000  2 Te 2.73, 4 I 2.83
I: 0.1678 0.3356 0.7344  3 Pd 2.83-2.85
I: 0.1678 0.8322 0.7344  3 Pd 2.83-2.85
I: 0.3356 0.1678 0.2656  3 Pd 2.83-2.85
I: 0.6644 0.8322 0.7344  3 Pd 2.83-2.85
I: 0.8322 0.1678 0.2656  3 Pd 2.83-2.85
I: 0.8322 0.6644 0.2656  3 Pd 2.83-2.85

Properties
The mass density is 6.99 g/cm³. Its uncorrected formation energy is -109 meV/atom. For the energy above the most stable polymorph in this dataset, the calculation gives 0.0188 eV per atom. For the total magnetic moment, the calculation gives 0.0 μB/f.u. Its total energy is -37.66 eV for the cell shown.

No. 4
## CdTeSe (PBE-GGA)

Data for an optimized crystal structure of CdTeSe.

abc: 4.2130 4.2130 5.1907
angles: 90.00 90.00 120.00
Last column: nearest neighbours and their distance in Å.
Atoms (fractional coordinates):
Cd: 0.0000 0.0000 0.0000  3 Se 2.82, 3 Te 2.97
Te: 0.6667 0.3333 0.6704  3 Cd 2.97, 3 Se 3.19
Se: 0.3333 0.6667 0.2737  3 Cd 2.82

Properties
The mass density is 6.64 g/cm³. Its uncorrected formation energy is -69 meV/atom. For the energy above the most stable polymorph in this dataset, the calculation gives 0.2399 eV per atom. For the total magnetic moment, the calculation gives 0.0 μB/f.u. Its total energy is -7.75 eV for the cell shown.